Ac2Ge3Pt: relaxed, GGA-PBE.

a = 4.4776 Å, b = 4.5201 Å, c = 7.5079 Å
α = 90.00°, β = 90.00°, γ = 90.00°
Closest atoms and distances in Å follow each position.
Positions (direct):
Ge1 0.5000 0.0000 0.8329  3 Ge 2.57-2.60
Ge2 0.5000 0.5000 0.6619  1 Pt 2.51, 2 Ge 2.60
Ge3 0.5000 0.0000 0.1748  2 Pt 2.53, 1 Ge 2.57
Ac1 0.0000 0.0000 0.4978  8 Ge 3.30-3.41, 4 Pt 3.43
Pt1 0.5000 0.5000 0.3274  3 Ge 2.51-2.53
Ac2 0.0000 0.5000 0.0052  2 Pt 3.30, 10 Ge 3.41-3.43

Output
- SG = No. 25
- DOS at the Fermi energy (states/eV per cell) = 2.89
- DFT total energy (eV/cell) = -33.38
- calculated density (kg/m³) = 9474
- spin magnetization (μB/f.u.) = 0.000
- energy of formation from the pure elements (kcal/mol of atoms) = -20.24

AcGe3Pt2: relaxed, GGA-PBE.

a = 4.4380 Å, b = 4.4380 Å, c = 13.2238 Å
α = 99.66°, β = 99.66°, γ = 90.00°
Closest atoms and distances in Å follow each position.
Positions (direct):
Ac1 0.1510 0.1510 0.3019  8 Ge 3.36-3.44, 8 Pt 3.38-3.42
Ge1 0.9513 0.4513 0.9025  1 Ge 2.50, 2 Pt 2.55
Ge2 0.4513 0.9513 0.9025  1 Ge 2.50, 2 Pt 2.55
Pt1 0.2500 0.7500 0.5000  4 Ge 2.59
Pt2 0.7500 0.2500 0.5000  4 Ge 2.59
Pt3 0.4020 0.4020 0.8040  5 Ge 2.55-2.57
Ge3 0.0487 0.5487 0.0975  1 Ge 2.50, 2 Pt 2.55
Ge4 0.3020 0.3020 0.6039  5 Pt 2.57-2.59
Ge5 0.5487 0.0487 0.0975  1 Ge 2.50, 2 Pt 2.55
Ge6 0.6980 0.6980 0.3961  5 Pt 2.57-2.59
Pt4 0.5980 0.5980 0.1960  5 Ge 2.55-2.57
Ac2 0.8490 0.8490 0.6981  8 Ge 3.36-3.44, 8 Pt 3.38-3.42

Output
- SG = No. 139
- DOS at the Fermi energy (states/eV per cell) = 7.37
- DFT total energy (eV/cell) = -68.80
- calculated density (kg/m³) = 10961
- spin magnetization (μB/f.u.) = 0.000
- energy of formation from the pure elements (kcal/mol of atoms) = -16.75

Ac6Ge2Pt: relaxed, GGA-PBE.

a = 7.1470 Å, b = 8.4279 Å, c = 10.9542 Å
α = 90.00°, β = 91.88°, γ = 90.00°
Closest atoms and distances in Å follow each position.
Positions (direct):
Ac1 0.8474 0.9573 0.2460  1 Pt 2.98, 2 Ge 3.27-3.29
Ac2 0.3474 0.5427 0.7460  1 Pt 2.98, 2 Ge 3.27-3.29
Pt1 0.0000 0.0000 0.5000  6 Ac 2.98-3.04
Ge1 0.0715 0.6190 0.2457  6 Ac 3.25-3.35
Ac3 0.1526 0.0427 0.7540  1 Pt 2.98, 2 Ge 3.27-3.29
Ac4 0.1508 0.3192 0.0687  1 Pt 3.04, 2 Ge 3.25-3.26
Pt2 0.5000 0.5000 0.0000  6 Ac 2.98-3.04
Ac5 0.6508 0.1808 0.5687  1 Pt 3.04, 2 Ge 3.25-3.26
Ac6 0.6530 0.1744 0.9377  1 Pt 3.04, 2 Ge 3.29-3.35
Ac7 0.8470 0.6744 0.5623  1 Pt 3.04, 2 Ge 3.29-3.35
Ge2 0.4285 0.1190 0.2543  6 Ac 3.25-3.35
Ge3 0.5715 0.8810 0.7457  6 Ac 3.25-3.35
Ac8 0.3471 0.8256 0.0623  1 Pt 3.04, 2 Ge 3.29-3.35
Ac9 0.3492 0.8192 0.4313  1 Pt 3.04, 2 Ge 3.25-3.26
Ac10 0.6526 0.4573 0.2540  1 Pt 2.98, 2 Ge 3.27-3.29
Ge4 0.9285 0.3810 0.7543  6 Ac 3.25-3.35
Ac11 0.8492 0.6808 0.9313  1 Pt 3.04, 2 Ge 3.25-3.26
Ac12 0.1530 0.3256 0.4377  1 Pt 3.04, 2 Ge 3.29-3.35

Output
- SG = No. 14
- DOS at the Fermi energy (states/eV per cell) = 20.36
- DFT total energy (eV/cell) = -90.12
- calculated density (kg/m³) = 8573
- spin magnetization (μB/f.u.) = 0.540
- energy of formation from the pure elements (kcal/mol of atoms) = -13.16

Ac3GePt: relaxed, GGA-PBE.

a = 7.4022 Å, b = 10.3367 Å, c = 11.4243 Å
α = 124.49°, β = 90.00°, γ = 90.00°
Closest atoms and distances in Å follow each position.
Positions (direct):
Ac1 0.3663 0.1188 0.7122  1 Pt 3.10, 3 Ge 3.32-3.45
Ac2 0.8663 0.3812 0.7878  1 Pt 3.10, 3 Ge 3.32-3.45
Ac3 0.9521 0.2640 0.3619  3 Pt 2.95-3.03
Pt1 0.7432 0.0171 0.1156  6 Ac 2.95-3.17
Ac4 0.4521 0.2360 0.1381  3 Pt 2.95-3.03
Ac5 0.1337 0.6188 0.2122  1 Pt 3.10, 3 Ge 3.32-3.45
Ac6 0.4056 0.3436 0.5477  2 Pt 3.00-3.17, 2 Ge 3.26-3.30
Ac7 0.5479 0.7640 0.8619  3 Pt 2.95-3.03
Pt2 0.2568 0.9829 0.8844  6 Ac 2.95-3.17
Ge1 0.7921 0.9984 0.6178  6 Ac 3.26-3.45
Ge2 0.2921 0.5016 0.8822  6 Ac 3.26-3.45
Ac8 0.5944 0.6564 0.4523  2 Pt 3.00-3.17, 2 Ge 3.26-3.30
Pt3 0.2432 0.4829 0.3844  6 Ac 2.95-3.17
Ge3 0.7079 0.4984 0.1178  6 Ac 3.26-3.45
Ac9 0.6337 0.8812 0.2878  1 Pt 3.10, 3 Ge 3.32-3.45
Ac10 0.9056 0.1564 0.9523  2 Pt 3.00-3.17, 2 Ge 3.26-3.30
Ge4 0.2079 0.0016 0.3822  6 Ac 3.26-3.45
Pt4 0.7568 0.5171 0.6156  6 Ac 2.95-3.17
Ac11 0.0944 0.8436 0.0477  2 Pt 3.00-3.17, 2 Ge 3.26-3.30
Ac12 0.0479 0.7360 0.6381  3 Pt 2.95-3.03

Output
- SG = No. 14
- DOS at the Fermi energy (states/eV per cell) = 14.59
- DFT total energy (eV/cell) = -105.15
- calculated density (kg/m³) = 8746
- spin magnetization (μB/f.u.) = 0.000
- energy of formation from the pure elements (kcal/mol of atoms) = -15.23

AcGePt4: relaxed, GGA-PBE.

a = 4.6929 Å, b = 4.6929 Å, c = 5.8755 Å
α = 90.00°, β = 90.00°, γ = 90.00°
Closest atoms and distances in Å follow each position.
Positions (direct):
Ge1 0.0000 0.0000 0.0000  4 Pt 2.35
Pt1 0.5000 0.0000 0.0000  2 Ge 2.35
Pt2 0.0000 0.5000 0.0000  2 Ge 2.35
Pt3 0.5000 0.5000 0.7263  5 Pt 2.66-2.84
Pt4 0.5000 0.5000 0.2737  5 Pt 2.66-2.84
Ac1 0.0000 0.0000 0.5000  2 Ge 2.94

Output
- SG = No. 123
- DOS at the Fermi energy (states/eV per cell) = 6.51
- DFT total energy (eV/cell) = -34.66
- calculated density (kg/m³) = 13859
- spin magnetization (μB/f.u.) = 0.000
- energy of formation from the pure elements (kcal/mol of atoms) = -6.80

Ac3Ge2Pt: relaxed, GGA-PBE.

a = 4.5966 Å, b = 12.5782 Å, c = 12.5642 Å
α = 90.00°, β = 90.00°, γ = 90.00°
Closest atoms and distances in Å follow each position.
Positions (direct):
Ge1 0.2500 0.4966 0.8052  1 Pt 2.76
Ac1 0.7500 0.1925 0.2840  2 Pt 3.13, 4 Ge 3.31-3.32
Ge2 0.7500 0.9966 0.6948  1 Pt 2.76
Ac2 0.2500 0.4461 0.3837  3 Pt 3.20-3.27, 5 Ge 3.29-3.38
Ac3 0.2500 0.1274 0.5602  1 Pt 3.16, 4 Ge 3.29
Pt1 0.7500 0.6305 0.3736  3 Ge 2.76
Ac4 0.7500 0.9461 0.1163  3 Pt 3.20-3.27, 5 Ge 3.29-3.38
Ge3 0.2500 0.0034 0.3052  1 Pt 2.76
Ge4 0.7500 0.3101 0.5208  2 Pt 2.76
Ge5 0.2500 0.6899 0.4792  2 Pt 2.76
Ge6 0.2500 0.8101 0.9792  2 Pt 2.76
Pt2 0.7500 0.8695 0.8736  3 Ge 2.76
Ac5 0.7500 0.6274 0.9398  1 Pt 3.16, 4 Ge 3.29
Ac6 0.2500 0.0539 0.8837  3 Pt 3.20-3.27, 5 Ge 3.29-3.38
Ac7 0.2500 0.8075 0.7160  2 Pt 3.13, 4 Ge 3.31-3.32
Ac8 0.7500 0.5539 0.6163  3 Pt 3.20-3.27, 5 Ge 3.29-3.38
Pt3 0.2500 0.1305 0.1264  3 Ge 2.76
Ge7 0.7500 0.5034 0.1948  1 Pt 2.76
Ac9 0.7500 0.3075 0.7840  2 Pt 3.13, 4 Ge 3.31-3.32
Pt4 0.2500 0.3695 0.6264  3 Ge 2.76
Ac10 0.2500 0.3726 0.0602  1 Pt 3.16, 4 Ge 3.29
Ac11 0.2500 0.6925 0.2160  2 Pt 3.13, 4 Ge 3.31-3.32
Ac12 0.7500 0.8726 0.4398  1 Pt 3.16, 4 Ge 3.29
Ge8 0.7500 0.1899 0.0208  2 Pt 2.76

Output
- SG = No. 62
- DOS at the Fermi energy (states/eV per cell) = 19.14
- DFT total energy (eV/cell) = -130.80
- calculated density (kg/m³) = 9339
- spin magnetization (μB/f.u.) = 0.254
- energy of formation from the pure elements (kcal/mol of atoms) = -19.60